[1]
Entry from the Alexandria database: an optimized crystal structure of BeMoC (PBE).

Cell: 2.8381 2.8381 8.4478 Å, 99.67 99.67 90.00°
Last column: nearest neighbours and their distance in Å.
Positions (direct):
1 Mo 0.9175 0.9175 0.8351  1 C 1.83
2 Mo 0.0825 0.0825 0.1649  1 C 1.83
3 Be 0.6949 0.6949 0.3899  5 C 1.82-2.01
4 Be 0.3051 0.3051 0.6101  5 C 1.82-2.01
5 C 0.1941 0.1941 0.3882  5 Be 1.82-2.01, 1 Mo 1.83
6 C 0.8059 0.8059 0.6118  5 Be 1.82-2.01, 1 Mo 1.83

Output
The formation energy is 2.191 eV/f.u. The uncorrected energy is -0.5290 Ry/atom. As for the total magnetic moment: 0.00 Bohr magnetons per cell.



[2]
Entry from the Alexandria database: an optimized crystal structure of AgRu3Pt (PBE).

Cell: 4.8026 4.8026 4.8026 Å, 90.00 90.00 90.00°
Last column: nearest neighbours and their distance in Å.
Positions (direct):
1 Ag 0.5000 0.5000 0.5000  12 Ru 3.40
2 Ru 0.0000 0.5000 0.0000  2 Pt 2.40
3 Ru 0.5000 0.0000 0.0000  2 Pt 2.40
4 Ru 0.0000 0.0000 0.5000  2 Pt 2.40
5 Pt 0.0000 0.0000 0.0000  6 Ru 2.40

Output
The formation energy is 9.354 eV/f.u. The uncorrected energy is -0.4023 Ry/atom. The value obtained for the energy above the lowest structure with this stoichiometry is 0.00 eV/f.u. As for the total magnetic moment: 5.68 Bohr magnetons per cell.



[3]
Entry from the Alexandria database: an optimized crystal structure of LiPuSnBr6 (PBE).

Cell: 7.1926 7.1926 13.0988 Å, 90.00 90.00 120.00°
Last column: nearest neighbours and their distance in Å.
Positions (direct):
1 Br 0.9889 0.3421 0.6291  1 Li 2.78, 1 Pu 2.88, 1 Sn 3.02
2 Br 0.0111 0.6579 0.3709  1 Li 2.78, 1 Pu 2.88, 1 Sn 3.02
3 Br 0.6468 0.6579 0.1291  1 Li 2.78, 1 Pu 2.88, 1 Sn 3.02
4 Br 0.9889 0.6468 0.8709  1 Li 2.78, 1 Pu 2.88, 1 Sn 3.02
5 Br 0.6579 0.6468 0.6291  1 Li 2.78, 1 Pu 2.88, 1 Sn 3.02
6 Br 0.0111 0.3532 0.1291  1 Li 2.78, 1 Pu 2.88, 1 Sn 3.02
7 Br 0.3532 0.3421 0.8709  1 Li 2.78, 1 Pu 2.88, 1 Sn 3.02
8 Br 0.6468 0.9889 0.3709  1 Li 2.78, 1 Pu 2.88, 1 Sn 3.02
9 Br 0.6579 0.0111 0.8709  1 Li 2.78, 1 Pu 2.88, 1 Sn 3.02
10 Br 0.3532 0.0111 0.6291  1 Li 2.78, 1 Pu 2.88, 1 Sn 3.02
11 Br 0.3421 0.9889 0.1291  1 Li 2.78, 1 Pu 2.88, 1 Sn 3.02
12 Br 0.3421 0.3532 0.3709  1 Li 2.78, 1 Pu 2.88, 1 Sn 3.02
13 Li 0.6667 0.3333 0.7500  6 Br 2.78
14 Li 0.3333 0.6667 0.2500  6 Br 2.78
15 Pu 0.3333 0.6667 0.7500  6 Br 2.88
16 Pu 0.6667 0.3333 0.2500  6 Br 2.88
17 Sn 0.0000 0.0000 0.0000  6 Br 3.02
18 Sn 0.0000 0.0000 0.5000  6 Br 3.02

Output
The uncorrected energy is -0.3385 Ry/atom. As for the total magnetic moment: 10.00 Bohr magnetons per cell.



[4]
Entry from the Alexandria database: an optimized crystal structure of HfSc2W (PBE).

Cell: 4.1190 4.1190 10.5288 Å, 78.72 78.72 90.00°
Last column: nearest neighbours and their distance in Å.
Positions (direct):
1 Sc 0.1127 0.6250 0.2500  4 Sc 2.84-2.99, 2 W 2.90, 2 Hf 2.94
2 Sc 0.8750 0.8873 0.7500  4 Sc 2.84-2.99, 2 W 2.90, 2 Hf 2.94
3 Sc 0.3750 0.3627 0.7500  4 Sc 2.84-2.99, 2 W 2.90, 2 Hf 2.94
4 Sc 0.6373 0.1250 0.2500  4 Sc 2.84-2.99, 2 W 2.90, 2 Hf 2.94
5 Hf 0.2500 0.7500 0.5000  4 W 2.91, 4 Sc 2.94
6 Hf 0.5000 0.5000 0.0000  4 W 2.91, 4 Sc 2.94
7 W 0.7500 0.2500 0.5000  4 Sc 2.90, 4 Hf 2.91
8 W 0.0000 0.0000 0.0000  4 Sc 2.90, 4 Hf 2.91

Output
The formation energy is 2.361 eV/f.u. The uncorrected energy is -0.6102 Ry/atom. The value obtained for the energy above the lowest structure with this stoichiometry is 0.83 eV/f.u. As for the total magnetic moment: 0.00 Bohr magnetons per cell.



[5]
Entry from the Alexandria database: an optimized crystal structure of CuSe3Br (PBE).

Cell: 5.0512 7.5744 14.5048 Å, 90.00 90.00 90.00°
Last column: nearest neighbours and their distance in Å.
Positions (direct):
1 Cu 0.2123 0.2500 0.7500  2 Se 2.38, 2 Br 2.53
2 Cu 0.2123 0.2500 0.2500  2 Se 2.38, 2 Br 2.53
3 Cu 0.7877 0.7500 0.7500  2 Se 2.38, 2 Br 2.53
4 Cu 0.7877 0.7500 0.2500  2 Se 2.38, 2 Br 2.53
5 Se 0.0645 0.6572 0.1261  1 Cu 2.38, 2 Se 2.39-2.47
6 Se 0.8043 0.7384 0.5000  2 Se 2.39
7 Se 0.0645 0.8428 0.3739  1 Cu 2.38, 2 Se 2.39-2.47
8 Se 0.0645 0.8428 0.6261  1 Cu 2.38, 2 Se 2.39-2.47
9 Se 0.8043 0.7616 0.0000  2 Se 2.39
10 Se 0.9355 0.3428 0.8739  1 Cu 2.38, 2 Se 2.39-2.47
11 Se 0.9355 0.1572 0.3739  1 Cu 2.38, 2 Se 2.39-2.47
12 Se 0.9355 0.3428 0.1261  1 Cu 2.38, 2 Se 2.39-2.47
13 Se 0.1957 0.2384 0.0000  2 Se 2.39
14 Se 0.1957 0.2616 0.5000  2 Se 2.39
15 Se 0.0645 0.6572 0.8739  1 Cu 2.38, 2 Se 2.39-2.47
16 Se 0.9355 0.1572 0.6261  1 Cu 2.38, 2 Se 2.39-2.47
17 Br 0.5000 0.0000 0.8073  2 Cu 2.53
18 Br 0.5000 0.5000 0.6927  2 Cu 2.53
19 Br 0.5000 0.5000 0.3073  2 Cu 2.53
20 Br 0.5000 0.0000 0.1927  2 Cu 2.53

Output
The uncorrected energy is -0.2490 Ry/atom. As for the total magnetic moment: 0.00 Bohr magnetons per cell.



[6]
Entry from the Alexandria database: an optimized crystal structure of Ba3Bi2H (PBE).

Cell: 4.6937 7.6197 12.7013 Å, 90.00 100.65 90.00°
Last column: nearest neighbours and their distance in Å.
Positions (direct):
1 H 0.6539 0.2500 0.3078  4 Ba 2.62-2.78
2 H 0.3461 0.7500 0.6922  4 Ba 2.62-2.78
3 Ba 0.4132 0.0146 0.8263  1 H 2.62
4 Ba 0.7866 0.7500 0.5731  2 H 2.78
5 Ba 0.5868 0.9854 0.1737  1 H 2.62
6 Ba 0.2134 0.2500 0.4269  2 H 2.78
7 Ba 0.5868 0.5146 0.1737  1 H 2.62
8 Ba 0.4132 0.4854 0.8263  1 H 2.62
9 Bi 0.1772 0.7500 0.3543  8 Ba 3.60-3.92
10 Bi 0.0074 0.2500 0.0148  8 Ba 3.67-3.78, 2 Bi 3.83
11 Bi 0.9926 0.7500 0.9852  8 Ba 3.67-3.78, 2 Bi 3.83
12 Bi 0.8228 0.2500 0.6457  8 Ba 3.60-3.92

Output
The uncorrected energy is -0.2650 Ry/atom. The value obtained for the energy above the lowest structure with this stoichiometry is 0.00 eV/f.u. As for the total magnetic moment: 0.00 Bohr magnetons per cell.